No. 1
The following is a meta-GGA SCAN calculation of Ta2CuRh at its PBEsol-relaxed geometry, from Alexandria via LeMat-Bulk.

a = 3.115 Å, b = 3.284 Å, c = 5.931 Å
α = 90.00°, β = 90.00°, γ = 90.00°
Element x y z (fractional)
Rh1 0.500 0.500 0.740
Cu1 0.000 0.000 0.505
Ta1 0.000 0.000 0.978
Ta2 0.500 0.500 0.276

Summary:
ΔE_f	-252	meV per atom

No. 2
The following is a meta-GGA SCAN calculation of Li3SeF at its PBEsol-relaxed geometry, from Alexandria via LeMat-Bulk.

a = 4.677 Å, b = 4.677 Å, c = 4.677 Å
α = 90.00°, β = 90.00°, γ = 90.00°
Last column: magnetic moment on the atom in μB.
Element x y z (fractional)
Li1 0.000 0.500 0.000  0.00
Li2 0.000 0.000 0.500  0.00
Li3 0.500 0.000 0.000  0.00
Se1 0.000 0.000 0.000  0.01
F1 0.500 0.500 0.500  0.07

Summary:
E_form (uncorrected)	-1.47	eV/atom

No. 3
The following is a meta-GGA SCAN calculation of CrOsSe2 at its PBEsol-relaxed geometry, from Alexandria via LeMat-Bulk.

a = 4.210 Å, b = 4.210 Å, c = 3.931 Å
α = 90.00°, β = 90.00°, γ = 97.59°
Last column: magnetic moment on the atom in μB.
Element x y z (fractional)
Cr1 0.500 0.500 0.500  3.61
Os1 0.000 0.000 0.500  -0.08
Se1 0.769 0.231 0.000  -0.02
Se2 0.231 0.769 0.000  -0.02

Summary:
E_form (uncorrected)	0.40	eV/atom

No. 4
The following is a meta-GGA SCAN calculation of Li2AgPb at its PBEsol-relaxed geometry, from Alexandria via LeMat-Bulk.

a = 3.238 Å, b = 3.238 Å, c = 6.927 Å
α = 90.00°, β = 90.00°, γ = 90.00°
Element x y z (fractional)
Pb1 0.500 0.500 0.500
Ag1 0.500 0.500 0.000
Li1 0.000 0.000 0.218
Li2 0.000 0.000 0.782

Summary:
ΔE_f	-275	meV per atom

No. 5
The following is a meta-GGA SCAN calculation of RbBaAs2Br at its PBEsol-relaxed geometry, from Alexandria via LeMat-Bulk.

a = 6.224 Å, b = 5.935 Å, c = 5.935 Å
α = 90.00°, β = 90.00°, γ = 90.00°
Last column: magnetic moment on the atom in μB.
Element x y z (fractional)
As1 0.000 0.000 0.500  0.38
As2 0.000 0.500 0.000  0.38
Br1 0.500 0.000 0.000  0.06
Ba1 0.000 0.000 0.000  0.01
Rb1 0.500 0.500 0.500  0.00

Summary:
E_form (uncorrected)	-0.28	eV/atom

No. 6
The following is a meta-GGA SCAN calculation of CsCdTeI2 at its PBEsol-relaxed geometry, from Alexandria via LeMat-Bulk.

a = 5.590 Å, b = 5.993 Å, c = 5.993 Å
α = 90.00°, β = 90.00°, γ = 90.00°
Last column: magnetic moment on the atom in μB.
Element x y z (fractional)
Cs1 0.500 0.500 0.500  0.00
I1 0.000 0.000 0.500  0.08
I2 0.000 0.500 0.000  0.08
Te1 0.500 0.000 0.000  0.43
Cd1 0.000 0.000 0.000  -0.01

Summary:
E_form (uncorrected)	-0.71	eV/atom

No. 7
The following is a meta-GGA SCAN calculation of InPRh2Se at its PBEsol-relaxed geometry, from Alexandria via LeMat-Bulk.

a = 4.363 Å, b = 4.363 Å, c = 4.932 Å
α = 90.00°, β = 90.00°, γ = 90.00°
Element x y z (fractional)
P1 0.000 0.000 0.000
Rh1 0.000 0.500 0.000
Rh2 0.500 0.000 0.000
Se1 0.000 0.000 0.500
In1 0.500 0.500 0.500

Summary:
E_form (uncorrected)	0.21	eV/atom

No. 8
The following is a meta-GGA SCAN calculation of ReNi2I at its PBEsol-relaxed geometry, from Alexandria via LeMat-Bulk.

a = 4.353 Å, b = 4.353 Å, c = 4.353 Å
α = 60.00°, β = 60.00°, γ = 60.00°
Element x y z (fractional)
I1 0.000 0.000 0.000
Re1 0.500 0.500 0.500
Ni1 0.250 0.250 0.250
Ni2 0.750 0.750 0.750

Summary:
E_form (uncorrected)	1.30	eV/atom

No. 9
The following is a meta-GGA SCAN calculation of TaP4S5Cl5 at its PBEsol-relaxed geometry, from Alexandria via LeMat-Bulk.

a = 6.575 Å, b = 10.104 Å, c = 12.792 Å
α = 98.63°, β = 104.06°, γ = 107.69°
Element x y z (fractional)
P1 0.091 0.412 0.687
P2 0.948 0.900 0.257
P3 0.909 0.588 0.313
P4 0.735 0.696 0.409
P5 0.052 0.100 0.743
P6 0.093 0.829 0.514
P7 0.265 0.304 0.591
P8 0.907 0.171 0.486
S1 0.811 0.021 0.582
S2 0.347 0.175 0.692
S3 0.184 0.622 0.750
S4 0.189 0.979 0.418
S5 0.812 0.350 0.547
S6 0.026 0.299 0.807
S7 0.816 0.378 0.250
S8 0.188 0.650 0.453
S9 0.974 0.701 0.193
S10 0.653 0.825 0.308
Cl1 0.542 0.794 0.008
Cl2 0.458 0.206 0.992
Cl3 0.394 0.490 0.125
Cl4 0.606 0.510 0.875
Cl5 0.448 0.069 0.207
Cl6 0.649 0.661 0.666
Cl7 0.552 0.931 0.793
Cl8 0.999 0.841 0.922
Cl9 0.001 0.159 0.078
Cl10 0.351 0.339 0.334
Ta1 0.378 0.268 0.155
Ta2 0.622 0.732 0.845

Summary:
E_form (uncorrected)	-0.71	eV/atom

No. 10
The following is a meta-GGA SCAN calculation of K2TcIr at its PBEsol-relaxed geometry, from Alexandria via LeMat-Bulk.

a = 2.768 Å, b = 2.768 Å, c = 11.527 Å
α = 83.11°, β = 83.11°, γ = 60.00°
Element x y z (fractional)
Ir1 0.000 0.000 0.000
K1 0.253 0.253 0.242
K2 0.747 0.747 0.758
Tc1 0.500 0.500 0.500

Summary:
ΔE_f	1061	meV per atom

No. 11
The following is a meta-GGA SCAN calculation of BiTe3F at its PBEsol-relaxed geometry, from Alexandria via LeMat-Bulk.

a = 5.836 Å, b = 5.836 Å, c = 5.836 Å
α = 90.00°, β = 90.00°, γ = 90.00°
Last column: magnetic moment on the atom in μB.
Element x y z (fractional)
Te1 0.000 0.500 0.000  0.68
Te2 0.000 0.000 0.500  0.68
Te3 0.500 0.000 0.000  0.68
Bi1 0.000 0.000 0.000  -0.02
F1 0.500 0.500 0.500  0.35

Summary:
E_form (uncorrected)	0.57	eV/atom

No. 12
The following is a meta-GGA SCAN calculation of YFeSb2 at its PBEsol-relaxed geometry, from Alexandria via LeMat-Bulk.

a = 3.491 Å, b = 3.491 Å, c = 8.860 Å
α = 78.64°, β = 78.64°, γ = 60.00°
Last column: magnetic moment on the atom in μB.
Element x y z (fractional)
Fe1 0.256 0.256 0.232  2.26
Sb1 0.980 0.980 0.060  -0.05
Sb2 0.750 0.750 0.749  -0.01
Y1 0.514 0.514 0.459  -0.38

Summary:
E_form (uncorrected)	0.06	eV/atom

The records above give, respectively, total energy values of -45.79, -7.63, -32.21, -28.26, -24.31, -36.50, -26.07, -33.75, -13.79, -29.64, -38.20, -30.06 eV per atom.